PBE-GGA BaEuH3, relaxed; crystal system = cubic; E_tot = -4.827 eV/atom
1.0
-0.309 -3.070 3.382
4.347 0.844 1.164
-1.404 3.289 2.858
Eu H Ba
1 3 1
Direct
0.000 0.000 0.000
0.000 0.000 0.500
0.500 0.000 0.000
0.000 0.500 0.000
0.500 0.500 0.500

PBE-GGA Ba4Eu2H, relaxed; crystal system = tetragonal; E_tot = -4.451 eV/atom
1.0
-0.282 -0.592 5.681
-5.085 -2.565 -0.520
7.434 -7.692 -3.311
H Eu Ba
1 2 4
Direct
0.000 0.000 0.000
0.656 0.656 0.313
0.344 0.344 0.687
0.000 0.500 0.000
0.153 0.153 0.305
0.500 0.000 0.000
0.847 0.847 0.695